{
  "formula": "ScTeAs2",
  "functional": "PBE",
  "state": "optimized geometry",
  "spacegroup": "No. 122",
  "e_tot_ev_per_cell": -38.31,
  "raw_formation_energy_kj_per_mol_fu": -37.0,
  "magnetic_moment_mub_per_cell": 0.000,
  "lattice_angstrom": [[5.8556, 0.0000, 0.0000], [0.0000, 5.8556, 0.0000], [2.9278, 2.9278, 7.2385]],
  "species": ["Sc", "Sc", "As", "As", "As", "As", "Te", "Te"],
  "fractional_positions": [[0.5000, 0.5000, 0.0000], [0.2500, 0.7500, 0.5000], [0.6017, 0.1250, 0.2500], [0.1483, 0.6250, 0.2500], [0.3750, 0.3983, 0.7500], [0.8750, 0.8517, 0.7500], [0.0000, 0.0000, 0.0000], [0.7500, 0.2500, 0.5000]]
}

=====

{
  "formula": "ScTeAs2",
  "functional": "PBE",
  "state": "optimized geometry",
  "spacegroup": "No. 216",
  "e_tot_ev_per_cell": -19.11,
  "raw_formation_energy_kj_per_mol_fu": -32.9,
  "magnetic_moment_mub_per_cell": 0.007,
  "lattice_angstrom": [[5.0022, 0.0000, 0.0000], [2.5011, 4.3321, 0.0000], [2.5011, 1.4440, 4.0843]],
  "species": ["As", "As", "Sc", "Te"],
  "fractional_positions": [[0.0000, 0.0000, 0.0000], [0.7500, 0.7500, 0.7500], [0.5000, 0.5000, 0.5000], [0.2500, 0.2500, 0.2500]]
}

=====

{
  "formula": "Sc7Te2As2",
  "functional": "PBE",
  "state": "optimized geometry",
  "spacegroup": "No. 44",
  "e_tot_ev_per_cell": -70.35,
  "raw_formation_energy_kj_per_mol_fu": -1008.0,
  "magnetic_moment_mub_per_cell": 0.000,
  "lattice_angstrom": [[3.7918, 0.0000, 0.8132], [1.0701, 7.4448, 4.2573], [0.1298, -0.0625, 8.6414]],
  "species": ["Sc", "Sc", "Sc", "Sc", "Sc", "Sc", "Sc", "Te", "Te", "As", "As"],
  "fractional_positions": [[0.8190, 0.0782, 0.2838], [0.8441, 0.4322, 0.8797], [0.5000, 0.0135, 0.9865], [0.6266, 0.4788, 0.2680], [0.3734, 0.7320, 0.5212], [0.1810, 0.7162, 0.9218], [0.1559, 0.1203, 0.5678], [0.0000, 0.7530, 0.2470], [0.5000, 0.3460, 0.6540], [0.7417, 0.8501, 0.6664], [0.2583, 0.3336, 0.1499]]
}

=====

{
  "formula": "Sc2TeAs2",
  "functional": "PBE",
  "state": "optimized geometry",
  "spacegroup": "No. 139",
  "e_above_lowest_polymorph_ev_per_atom": 0.0337,
  "e_tot_ev_per_cell": -29.75,
  "raw_formation_energy_kj_per_mol_fu": -448.3,
  "magnetic_moment_mub_per_cell": 0.334,
  "lattice_angstrom": [[3.8975, 0.0000, 0.0000], [0.0000, 3.8975, 0.0000], [1.9487, 1.9487, 7.2014]],
  "species": ["Sc", "Sc", "As", "As", "Te"],
  "fractional_positions": [[0.3879, 0.3879, 0.2242], [0.6121, 0.6121, 0.7758], [0.7500, 0.2500, 0.5000], [0.2500, 0.7500, 0.5000], [0.0000, 0.0000, 0.0000]]
}

=====

{
  "formula": "ScTeAs2",
  "functional": "PBE",
  "state": "optimized geometry",
  "spacegroup": "No. 119",
  "e_tot_ev_per_cell": -19.96,
  "raw_formation_energy_kj_per_mol_fu": -114.8,
  "magnetic_moment_mub_per_cell": 0.000,
  "lattice_angstrom": [[5.8748, -0.0278, 0.0000], [2.9979, 5.0524, 0.0000], [-4.4363, -2.5123, 2.9191]],
  "species": ["As", "As", "Sc", "Te"],
  "fractional_positions": [[0.0000, 0.0000, 0.0000], [0.2500, 0.7500, 0.5000], [0.5000, 0.5000, 0.0000], [0.7500, 0.2500, 0.5000]]
}

=====

{
  "formula": "Sc5Te2As2",
  "functional": "PBE",
  "state": "optimized geometry",
  "spacegroup": "No. 64",
  "e_tot_ev_per_cell": -114.84,
  "raw_formation_energy_kj_per_mol_fu": -982.1,
  "magnetic_moment_mub_per_cell": 0.001,
  "lattice_angstrom": [[6.9780, 0.0000, 2.5330], [0.0000, 7.4186, 0.0000], [1.0608, 0.0000, 7.9557]],
  "species": ["Sc", "Sc", "Sc", "Sc", "Sc", "Sc", "Sc", "Sc", "Sc", "Sc", "Te", "Te", "Te", "Te", "As", "As", "As", "As"],
  "fractional_positions": [[0.0000, 0.0000, 0.0000], [0.5000, 0.5000, 0.0000], [0.4699, 0.1569, 0.7515], [0.7786, 0.8431, 0.7515], [0.2786, 0.6569, 0.7515], [0.9699, 0.3431, 0.7515], [0.5301, 0.8431, 0.2485], [0.2214, 0.1569, 0.2485], [0.7214, 0.3431, 0.2485], [0.0301, 0.6569, 0.2485], [0.2030, 0.0000, 0.5940], [0.7030, 0.5000, 0.5940], [0.7970, 0.0000, 0.4060], [0.2970, 0.5000, 0.4060], [0.1481, 0.3557, 0.0000], [0.8519, 0.6443, 0.0000], [0.3519, 0.8557, 0.0000], [0.6481, 0.1443, 0.0000]]
}

=====

{
  "formula": "ScTeAs2",
  "functional": "PBE",
  "state": "optimized geometry",
  "spacegroup": "No. 123",
  "e_tot_ev_per_cell": -19.71,
  "raw_formation_energy_kj_per_mol_fu": -90.3,
  "magnetic_moment_mub_per_cell": 0.000,
  "lattice_angstrom": [[4.8648, 0.0000, 0.0000], [0.0000, 4.8648, 0.0000], [0.0000, 0.0000, 3.6552]],
  "species": ["As", "As", "Sc", "Te"],
  "fractional_positions": [[0.0000, 0.0000, 0.0000], [0.5000, 0.5000, 0.0000], [0.5000, 0.0000, 0.5000], [0.0000, 0.5000, 0.5000]]
}

=====

{
  "formula": "ScTeAs2",
  "functional": "PBE",
  "state": "optimized geometry",
  "spacegroup": "No. 10",
  "e_tot_ev_per_cell": -20.50,
  "raw_formation_energy_kj_per_mol_fu": -167.0,
  "magnetic_moment_mub_per_cell": 0.000,
  "lattice_angstrom": [[3.6530, 0.0000, 0.0000], [0.0000, 3.9048, -0.0364], [0.0000, 2.6407, 6.2556]],
  "species": ["As", "As", "Sc", "Te"],
  "fractional_positions": [[0.0000, 0.8824, 0.0479], [0.0000, 0.6176, 0.4521], [0.5000, 0.2500, 0.2500], [0.5000, 0.7500, 0.7500]]
}

=====

{
  "formula": "ScTeAs2",
  "functional": "PBE",
  "state": "optimized geometry",
  "spacegroup": "No. 166",
  "e_tot_ev_per_cell": -19.08,
  "raw_formation_energy_kj_per_mol_fu": -29.6,
  "magnetic_moment_mub_per_cell": 0.000,
  "lattice_angstrom": [[-0.7525, -1.0071, 9.0314], [-0.0937, -4.2076, 8.0891], [2.4607, -2.0098, 8.5470]],
  "species": ["As", "As", "Sc", "Te"],
  "fractional_positions": [[0.9917, 0.9917, 0.9917], [0.5083, 0.5083, 0.5083], [0.2500, 0.2500, 0.2500], [0.7500, 0.7500, 0.7500]]
}

=====

{
  "formula": "ScTeAs2",
  "functional": "PBE",
  "state": "optimized geometry",
  "spacegroup": "No. 65",
  "e_tot_ev_per_cell": -19.90,
  "raw_formation_energy_kj_per_mol_fu": -108.8,
  "magnetic_moment_mub_per_cell": 0.000,
  "lattice_angstrom": [[4.8626, 0.0256, 0.0000], [-1.0622, 4.7452, 0.0000], [0.0000, 0.0000, 3.7345]],
  "species": ["As", "As", "Sc", "Te"],
  "fractional_positions": [[0.0000, 0.0000, 0.0000], [0.5000, 0.5000, 0.0000], [0.5000, 0.0000, 0.5000], [0.0000, 0.5000, 0.5000]]
}

=====

{
  "formula": "ScTeAs2",
  "functional": "PBE",
  "state": "optimized geometry",
  "spacegroup": "No. 123",
  "e_tot_ev_per_cell": -19.59,
  "raw_formation_energy_kj_per_mol_fu": -78.9,
  "magnetic_moment_mub_per_cell": 0.000,
  "lattice_angstrom": [[4.6389, 0.0000, 0.0000], [0.0000, 4.3435, 0.0000], [0.0000, 0.0000, 4.3435]],
  "species": ["As", "As", "Sc", "Te"],
  "fractional_positions": [[0.0000, 0.0000, 0.0000], [0.0000, 0.5000, 0.5000], [0.5000, 0.5000, 0.0000], [0.5000, 0.0000, 0.5000]]
}

=====

{
  "formula": "ScTeAs2",
  "functional": "PBE",
  "state": "optimized geometry",
  "spacegroup": "No. 12",
  "e_tot_ev_per_cell": -20.64,
  "raw_formation_energy_kj_per_mol_fu": -180.5,
  "magnetic_moment_mub_per_cell": 0.000,
  "lattice_angstrom": [[-2.5392, 3.3884, -5.5077], [-4.5603, 0.1843, -5.2377], [-2.5290, 1.8361, 2.8589]],
  "species": ["As", "As", "Sc", "Te"],
  "fractional_positions": [[0.9640, 0.9640, 0.8838], [0.5360, 0.5360, 0.6162], [0.7500, 0.7500, 0.7500], [0.2500, 0.2500, 0.2500]]
}

=====

{
  "formula": "ScTeAs2",
  "functional": "PBE",
  "state": "optimized geometry",
  "spacegroup": "No. 38",
  "e_tot_ev_per_cell": -20.91,
  "raw_formation_energy_kj_per_mol_fu": -206.1,
  "magnetic_moment_mub_per_cell": 0.000,
  "lattice_angstrom": [[-4.6980, -3.0366, 0.8364], [-3.1850, -3.5812, -3.0037], [2.2652, -3.1372, 1.3374]],
  "species": ["As", "As", "Sc", "Te"],
  "fractional_positions": [[0.9736, 0.9736, 0.8750], [0.7366, 0.7366, 0.8750], [0.5390, 0.5390, 0.3751], [0.2509, 0.2509, 0.3749]]
}

=====

{
  "formula": "ScTe2As2",
  "functional": "PBE",
  "state": "optimized geometry",
  "spacegroup": "No. 127",
  "e_tot_ev_per_cell": -46.40,
  "raw_formation_energy_kj_per_mol_fu": -124.3,
  "magnetic_moment_mub_per_cell": 0.000,
  "lattice_angstrom": [[-5.9627, -3.3325, -3.1016], [4.5457, -4.6377, -3.7560], [-0.1455, -2.8432, 3.3345]],
  "species": ["Sc", "Sc", "As", "As", "As", "As", "Te", "Te", "Te", "Te"],
  "fractional_positions": [[0.0000, 0.0000, 0.0000], [0.5000, 0.5000, 0.0000], [0.3452, 0.8452, 0.0000], [0.8452, 0.6548, 0.0000], [0.6548, 0.1548, 0.0000], [0.1548, 0.3452, 0.0000], [0.1828, 0.6828, 0.5000], [0.6828, 0.8172, 0.5000], [0.8172, 0.3172, 0.5000], [0.3172, 0.1828, 0.5000]]
}

=====

{
  "formula": "Sc3TeAs2",
  "functional": "PBE",
  "state": "optimized geometry",
  "spacegroup": "No. 139",
  "e_tot_ev_per_cell": -39.22,
  "raw_formation_energy_kj_per_mol_fu": -751.0,
  "magnetic_moment_mub_per_cell": 0.000,
  "lattice_angstrom": [[3.9031, -0.0007, -0.8892], [-0.2027, 3.8978, -0.8898], [-0.0457, -0.0470, 8.8086]],
  "species": ["Sc", "Sc", "Sc", "Te", "As", "As"],
  "fractional_positions": [[0.9340, 0.9360, 0.8739], [0.2580, 0.2591, 0.5212], [0.6107, 0.6119, 0.2268], [0.4340, 0.4360, 0.8740], [0.0985, 0.0997, 0.2023], [0.7702, 0.7714, 0.5457]]
}

=====

{
  "formula": "Sc3Te2As",
  "functional": "PBE",
  "state": "optimized geometry",
  "spacegroup": "No. 12",
  "e_above_lowest_polymorph_ev_per_atom": 0.0000,
  "e_tot_ev_per_cell": -74.90,
  "raw_formation_energy_kj_per_mol_fu": -726.0,
  "magnetic_moment_mub_per_cell": 0.000,
  "lattice_angstrom": [[6.2343, -0.3073, 3.2321], [2.3448, 6.6099, 1.2156], [0.3171, -0.1536, 7.0168]],
  "species": ["Sc", "Sc", "Sc", "Sc", "Sc", "Sc", "Te", "Te", "Te", "Te", "As", "As"],
  "fractional_positions": [[0.5673, 0.2224, 0.3572], [0.7138, 0.7837, 0.0000], [0.4327, 0.7776, 0.6428], [0.0755, 0.7776, 0.3572], [0.9245, 0.2224, 0.6428], [0.2862, 0.2163, 0.0000], [0.0000, 0.0000, 0.0000], [0.5000, 0.5000, 0.0000], [0.8409, 0.5000, 0.3182], [0.1591, 0.5000, 0.6818], [0.3317, 0.0000, 0.3366], [0.6683, 0.0000, 0.6634]]
}

=====

{
  "formula": "Sc3TeAs",
  "functional": "PBE",
  "state": "optimized geometry",
  "spacegroup": "No. 221",
  "e_above_lowest_polymorph_ev_per_atom": 0.5156,
  "e_tot_ev_per_cell": -29.35,
  "raw_formation_energy_kj_per_mol_fu": -246.9,
  "magnetic_moment_mub_per_cell": 0.000,
  "lattice_angstrom": [[5.0489, 0.0000, 0.0000], [0.0000, 5.0489, 0.0000], [0.0000, 0.0000, 5.0489]],
  "species": ["Sc", "Sc", "Sc", "As", "Te"],
  "fractional_positions": [[0.0000, 0.5000, 0.0000], [0.0000, 0.0000, 0.5000], [0.5000, 0.0000, 0.0000], [0.0000, 0.0000, 0.0000], [0.5000, 0.5000, 0.5000]]
}

=====

{
  "formula": "Sc2TeAs2",
  "functional": "PBE",
  "state": "optimized geometry",
  "spacegroup": "No. 127",
  "e_above_lowest_polymorph_ev_per_atom": 0.0885,
  "e_tot_ev_per_cell": -58.95,
  "raw_formation_energy_kj_per_mol_fu": -421.8,
  "magnetic_moment_mub_per_cell": 0.000,
  "lattice_angstrom": [[7.6510, 0.0000, 0.0000], [0.0000, 7.6510, 0.0000], [0.0000, 0.0000, 3.6705]],
  "species": ["Sc", "Sc", "Sc", "Sc", "As", "As", "As", "As", "Te", "Te"],
  "fractional_positions": [[0.3408, 0.8408, 0.0000], [0.8408, 0.6592, 0.0000], [0.6592, 0.1592, 0.0000], [0.1592, 0.3408, 0.0000], [0.1345, 0.6345, 0.5000], [0.6345, 0.8655, 0.5000], [0.8655, 0.3655, 0.5000], [0.3655, 0.1345, 0.5000], [0.0000, 0.0000, 0.0000], [0.5000, 0.5000, 0.0000]]
}

=====

{
  "formula": "ScTeAs2",
  "functional": "PBE",
  "state": "optimized geometry",
  "spacegroup": "No. 123",
  "e_tot_ev_per_cell": -20.51,
  "raw_formation_energy_kj_per_mol_fu": -167.5,
  "magnetic_moment_mub_per_cell": 0.000,
  "lattice_angstrom": [[3.6127, 0.0000, 0.0000], [0.0000, 3.6141, 0.0000], [0.0000, 0.0000, 6.7910]],
  "species": ["As", "As", "Sc", "Te"],
  "fractional_positions": [[0.0000, 0.0000, 0.0652], [0.0000, 0.0000, 0.4348], [0.5000, 0.5000, 0.2500], [0.5000, 0.5000, 0.7500]]
}

=====

{
  "formula": "ScTeAs2",
  "functional": "PBE",
  "state": "optimized geometry",
  "spacegroup": "No. 6",
  "e_tot_ev_per_cell": -21.11,
  "raw_formation_energy_kj_per_mol_fu": -226.0,
  "magnetic_moment_mub_per_cell": 0.000,
  "lattice_angstrom": [[-3.0112, 1.3988, -2.2513], [-2.5870, -1.8299, 2.3233], [-1.5647, 3.8490, 4.4845]],
  "species": ["As", "As", "Sc", "Te"],
  "fractional_positions": [[0.0000, 0.9961, 0.1316], [0.5000, 0.3850, 0.1687], [0.0000, 0.3481, 0.5131], [0.5000, 0.7707, 0.6866]]
}